# UAl10Re2 (PBE, relaxed)
# ΔH_f (0 K) ... -253 meV/atom
# Volume ... 863.6 Å³/cell
# DOS at the Fermi energy ... 0.755 states/eV/atom
# Total DFT energy (no corrections) ... -5.916 eV/atom
data_UAl10Re2
_chemical_formula_sum 'U4 Al40 Re8'
_space_group_name_H-M_alt 'C m c m'
_space_group_IT_number 63
_space_group_name_Hall '-C 2c 2'
_cell_length_a 9.091
_cell_length_b 10.356
_cell_length_c 9.173
_cell_angle_alpha 90.00
_cell_angle_beta 90.00
_cell_angle_gamma 90.00
loop_
_atom_site_label
_atom_site_type_symbol
_atom_site_fract_x
_atom_site_fract_y
_atom_site_fract_z
U1 U 0.000 0.129 0.250
Al1 Al 0.000 0.153 0.600
Al2 Al 0.000 0.376 0.043
Al3 Al 0.155 0.369 0.750
Al4 Al 0.223 0.000 0.000
Al5 Al 0.227 0.368 0.250
Re1 Re 0.250 0.250 0.000